Density functional theory data (PBE-GGA) for an optimized crystal structure of Li2PdCl6.

Cell lengths 6.263, 5.972, 12.106 Å; angles 90.00, 121.16, 90.00 degrees
Space group P2_1/c (No. 14)
One atom of each set of equivalent atoms:
Li 0.174 0.000 0.174 [4 per cell]
Pd 0.500 0.000 0.000 [2 per cell]
Cl 0.174 0.219 0.840 [4 per cell]
Cl 0.194 0.728 0.500 [4 per cell]
Cl 0.495 0.218 0.160 [4 per cell]

Values from the calculation:
Calculated density = 2.85 Mg/m³
Calculated volume = 21.5 Å³/atom
Energy = -3.2285 eV/atom